This record from Alexandria describes an optimized crystal structure of K2ScTc. The functional is GGA-PBE.

Unit cell a=5.7003 b=12.8805 c=3.2687 alpha=90.00 beta=120.03 gamma=90.00
Fractional coordinates of all 8 atoms:
K (0.2500, 0.2500, 0.0000)
K (0.2500, 0.7500, 0.0000)
K (0.7500, 0.2500, 0.0000)
K (0.7500, 0.7500, 0.0000)
Sc (0.0000, 0.0000, 0.5000)
Sc (0.5000, 0.5000, 0.5000)
Tc (0.0000, 0.5000, 0.5000)
Tc (0.5000, 0.0000, 0.5000)

Values from the calculation:
Calculated density in Mg/m³: 3.53
M_tot in Bohr magnetons per cell: 0.000
Formation energy in eV per formula unit: 4.31
Energy above the lowest structure with this stoichiometry in meV per atom: 525
E_tot in eV/cell: -29.17

---

This record from Alexandria describes an optimized crystal structure of KScTc4. The functional is GGA-PBE.

Unit cell a=5.3675 b=5.3675 c=5.3675 alpha=60.00 beta=60.00 gamma=60.00
Fractional coordinates of all 6 atoms:
K (0.0000, 0.0000, 0.0000)
Sc (0.7500, 0.7500, 0.7500)
Tc (0.3753, 0.3753, 0.3753)
Tc (0.3753, 0.3753, 0.8742)
Tc (0.3753, 0.8742, 0.3753)
Tc (0.8742, 0.3753, 0.3753)

Values from the calculation:
Calculated density in Mg/m³: 7.23
M_tot in Bohr magnetons per cell: 0.000
Formation energy in eV per formula unit: 3.69
E_tot in eV/cell: -45.20

---

This record from Alexandria describes an optimized crystal structure of KSc2Tc. The functional is GGA-PBE.

Unit cell a=4.5705 b=4.8673 c=9.9023 alpha=90.00 beta=90.00 gamma=90.00
Fractional coordinates of all 8 atoms:
K (0.0000, 0.0000, 0.0000)
K (0.5000, 0.5000, 0.0000)
Sc (0.0000, 0.5000, 0.3501)
Sc (0.0000, 0.5000, 0.6499)
Sc (0.5000, 0.0000, 0.3501)
Sc (0.5000, 0.0000, 0.6499)
Tc (0.0000, 0.0000, 0.5000)
Tc (0.5000, 0.5000, 0.5000)

Values from the calculation:
Calculated density in Mg/m³: 3.42
M_tot in Bohr magnetons per cell: 0.000
Formation energy in eV per formula unit: 0.23
E_tot in eV/cell: -47.80

---

This record from Alexandria describes an optimized crystal structure of KScTc2. The functional is GGA-PBE.

Unit cell a=3.8432 b=3.8432 c=9.9939 alpha=90.00 beta=90.00 gamma=90.00
Fractional coordinates of all 8 atoms:
K (0.0000, 0.0000, 0.0000)
K (0.5000, 0.5000, 0.5000)
Sc (0.0000, 0.0000, 0.5000)
Sc (0.5000, 0.5000, 0.0000)
Tc (0.0000, 0.5000, 0.2500)
Tc (0.0000, 0.5000, 0.7500)
Tc (0.5000, 0.0000, 0.2500)
Tc (0.5000, 0.0000, 0.7500)

Values from the calculation:
Calculated density in Mg/m³: 6.30
M_tot in Bohr magnetons per cell: 0.000
Formation energy in eV per formula unit: 4.50
Energy above the lowest structure with this stoichiometry in meV per atom: 746
E_tot in eV/cell: -47.32

---

Question: What is the E_tot in the second record?
Answer: -45.20 eV/cell

---

Question: Which value of E_tot does entry 4 give?
Answer: -47.32 eV/cell

---

Please write out number 2 again, unchanged.
This record from Alexandria describes an optimized crystal structure of KScTc4. The functional is GGA-PBE.

Unit cell a=5.3675 b=5.3675 c=5.3675 alpha=60.00 beta=60.00 gamma=60.00
Fractional coordinates of all 6 atoms:
K (0.0000, 0.0000, 0.0000)
Sc (0.7500, 0.7500, 0.7500)
Tc (0.3753, 0.3753, 0.3753)
Tc (0.3753, 0.3753, 0.8742)
Tc (0.3753, 0.8742, 0.3753)
Tc (0.8742, 0.3753, 0.3753)

Values from the calculation:
Calculated density in Mg/m³: 7.23
M_tot in Bohr magnetons per cell: 0.000
Formation energy in eV per formula unit: 3.69
E_tot in eV/cell: -45.20

---

Please write out number 1 again, unchanged.
This record from Alexandria describes an optimized crystal structure of K2ScTc. The functional is GGA-PBE.

Unit cell a=5.7003 b=12.8805 c=3.2687 alpha=90.00 beta=120.03 gamma=90.00
Fractional coordinates of all 8 atoms:
K (0.2500, 0.2500, 0.0000)
K (0.2500, 0.7500, 0.0000)
K (0.7500, 0.2500, 0.0000)
K (0.7500, 0.7500, 0.0000)
Sc (0.0000, 0.0000, 0.5000)
Sc (0.5000, 0.5000, 0.5000)
Tc (0.0000, 0.5000, 0.5000)
Tc (0.5000, 0.0000, 0.5000)

Values from the calculation:
Calculated density in Mg/m³: 3.53
M_tot in Bohr magnetons per cell: 0.000
Formation energy in eV per formula unit: 4.31
Energy above the lowest structure with this stoichiometry in meV per atom: 525
E_tot in eV/cell: -29.17